No. 1
A relaxed structure of In4Re, computed with GGA-PBE.

```
data_In4Re
_chemical_formula_sum 'In8 Re2'
_cell_length_a 6.3228
_cell_length_b 6.3228
_cell_length_c 6.3228
_cell_angle_alpha 90.00
_cell_angle_beta 90.00
_cell_angle_gamma 90.00
_symmetry_space_group_name_H-M 'I m -3 m'
_symmetry_Int_Tables_number 229
_symmetry_space_group_name_Hall '-I 4 2 3'
loop_
_atom_site_label
_atom_site_type_symbol
_atom_site_fract_x
_atom_site_fract_y
_atom_site_fract_z
In1 In 0.2500 0.2500 0.2500
Re1 Re 0.0000 0.0000 0.0000
```

**Electronic total energy**: -0.1668 Ha/atom
**Density of states at the Fermi level**: 4.5 states/eV/cell

No. 2
A relaxed structure of DyHoThPa, computed with GGA-PBE.

```
data_DyHoThPa
_chemical_formula_sum 'Dy4 Ho4 Th4 Pa4'
_cell_length_a 7.8366
_cell_length_b 7.8366
_cell_length_c 7.8366
_cell_angle_alpha 90.00
_cell_angle_beta 90.00
_cell_angle_gamma 90.00
_symmetry_space_group_name_H-M 'F -4 3 m'
_symmetry_Int_Tables_number 216
_symmetry_space_group_name_Hall 'F -4 2 3'
loop_
_atom_site_label
_atom_site_type_symbol
_atom_site_fract_x
_atom_site_fract_y
_atom_site_fract_z
Dy1 Dy 0.0000 0.0000 0.0000
Ho1 Ho 0.2500 0.2500 0.7500
Th1 Th 0.0000 0.0000 0.5000
Pa1 Pa 0.2500 0.2500 0.2500
```

**Electronic total energy**: -0.2267 Ha/atom
**Density of states at the Fermi level**: 49.1 states/eV/cell

Calculated values (eV/atom) of DFT formation energy for the records, taken in order: 0.142; 0.356.